# 1
Computed, not measured: a relaxed structure of SrScAgTeS2 at the PBE-GGA level of DFT.

POSCAR file:
```
SrScAgTeS2
1.0
6.751 -0.553 -3.129
-7.245 1.658 -0.655
2.083 10.168 2.697
Ag S Sc Sr Te
2 4 2 2 2
Direct
0.983 0.017 0.250
0.017 0.983 0.750
0.883 0.117 0.060
0.883 0.117 0.440
0.117 0.883 0.560
0.117 0.883 0.940
0.500 0.500 0.000
0.500 0.500 0.500
0.294 0.706 0.250
0.706 0.294 0.750
0.613 0.387 0.250
0.387 0.613 0.750
```

Calculated values
SG: Cmcm, No. 63
Magnetization, μB/f.u.: 0.00
Total DFT energy (no corrections), eV per formula unit: -29.99



# 2
Computed, not measured: a relaxed structure of Ho2Ga2Ni3Pd at the PBE-GGA level of DFT.

POSCAR file:
```
Ho2Ga2Ni3Pd
1.0
-1.703 -0.723 3.777
4.179 0.232 -0.413
-0.334 8.684 1.512
Ga Ho Ni Pd
2 2 3 1
Direct
0.667 0.333 0.016
0.667 0.333 0.498
0.000 0.000 0.255
0.333 0.667 0.741
0.333 0.667 0.076
0.333 0.667 0.430
0.000 0.000 0.565
0.000 0.000 0.919
```

Calculated values
SG: P3m1, No. 156
Magnetization, μB/f.u.: 0.00
Total DFT energy (no corrections), eV per formula unit: -42.24



# 3
Computed, not measured: a relaxed structure of NaCoGeSe3 at the PBE-GGA level of DFT.

POSCAR file:
```
NaCoGeSe3
1.0
7.068 0.000 0.000
0.000 3.707 0.000
-3.317 0.000 10.306
Co Ge Na Se
2 2 2 6
Direct
0.962 0.750 0.352
0.038 0.250 0.648
0.888 0.250 0.053
0.112 0.750 0.947
0.466 0.750 0.312
0.534 0.250 0.688
0.713 0.750 0.137
0.130 0.250 0.279
0.812 0.250 0.433
0.188 0.750 0.567
0.870 0.750 0.721
0.287 0.250 0.863
```

Calculated values
SG: P2_1/m, No. 11
Magnetization, μB/f.u.: 0.00
Total DFT energy (no corrections), eV per formula unit: -26.19



# 4
Computed, not measured: a relaxed structure of BePtAu2 at the PBE-GGA level of DFT.

POSCAR file:
```
BePtAu2
1.0
0.000 3.146 3.146
3.146 0.000 3.146
3.146 3.146 0.000
Au Be Pt
2 1 1
Direct
0.000 0.000 0.000
0.750 0.750 0.750
0.500 0.500 0.500
0.250 0.250 0.250
```

Calculated values
SG: F-43m, No. 216
Magnetization, μB/f.u.: 0.00
Total DFT energy (no corrections), eV per formula unit: -16.20



# 5
Computed, not measured: a relaxed structure of NdGdAg2Pb2 at the PBE-GGA level of DFT.

POSCAR file:
```
NdGdAg2Pb2
1.0
-0.253 -2.292 4.287
2.990 -1.650 -3.469
5.547 4.408 2.684
Ag Gd Nd Pb
2 1 1 2
Direct
0.667 0.333 0.177
0.333 0.667 0.686
0.000 0.000 0.992
0.000 0.000 0.490
0.333 0.667 0.267
0.667 0.333 0.774
```

Calculated values
SG: P3m1, No. 156
Magnetization, μB/f.u.: 0.01
Total DFT energy (no corrections), eV per formula unit: -25.17



# 6
Computed, not measured: a relaxed structure of PrDySi2 at the PBE-GGA level of DFT.

POSCAR file:
```
PrDySi2
1.0
-1.082 0.782 3.669
4.419 -3.257 1.997
4.813 6.545 0.024
Dy Pr Si
2 2 4
Direct
0.000 0.364 0.180
0.000 0.636 0.680
0.500 0.865 0.321
0.500 0.135 0.821
0.000 0.868 0.035
0.500 0.380 0.463
0.000 0.132 0.535
0.500 0.620 0.963
```

Calculated values
SG: Pmc2_1, No. 26
Energy above the most stable polymorph in this dataset, meV per atom: 9
Magnetization, μB/f.u.: 0.02